No. 1
A relaxed MnCo2As8 crystal. Source: Alexandria, functional PBE.

Computed properties:
- Energy: -59.5 eV/cell
- Formation energy from the elements: 0.097 eV/atom

Unit cell a=4.4079 b=7.7040 c=7.4958 alpha=119.07 beta=89.95 gamma=97.19
Each line ends with the local moment (μB).
Sites, in units of the cell vectors:
Mn: 0.0000 0.0000 0.0000  3.14
Co: 0.3393 0.3411 0.6704  0.08
Co: 0.6607 0.6589 0.3296  0.08
As: 0.1475 0.6089 0.3053  0.01
As: 0.8525 0.3911 0.6947  0.01
As: 0.6571 0.8573 0.1808  -0.02
As: 0.3428 0.1423 0.3232  -0.02
As: 0.3036 0.6984 0.8494  -0.03
As: 0.3429 0.1427 0.8192  -0.02
As: 0.6572 0.8577 0.6768  -0.02
As: 0.6964 0.3016 0.1506  -0.03

No. 2
A relaxed LaMgAs2 crystal. Source: Alexandria, functional PBE.

Computed properties:
- Energy: -18.7 eV/cell
- Formation energy from the elements: -0.729 eV/atom

Unit cell a=3.7219 b=3.7219 c=7.2634 alpha=90.00 beta=90.00 gamma=105.59
Sites, in units of the cell vectors:
As: 0.0000 0.0000 0.9821
As: 0.0000 0.0000 0.5179
La: 0.5000 0.5000 0.2500
Mg: 0.5000 0.5000 0.7500

No. 3
A relaxed Sm2SnH2 crystal. Source: Alexandria, functional PBE.

Computed properties:
- Energy: -23.8 eV/cell

Unit cell a=4.0775 b=4.0775 c=6.2197 alpha=109.13 beta=109.13 gamma=90.00
Sites, in units of the cell vectors:
Sm: 0.6527 0.6527 0.3054
Sm: 0.3473 0.3473 0.6946
Sn: 0.0000 0.0000 0.0000
H: 0.7500 0.2500 0.5000
H: 0.2500 0.7500 0.5000

No. 4
A relaxed CaTa2Mn crystal. Source: Alexandria, functional PBE.

Computed properties:
- Energy: -32.1 eV/cell
- Formation energy from the elements: 0.682 eV/atom
- Excess energy over the best structure of this formula in the dataset: 1.14 eV/f.u.

Unit cell a=3.2920 b=4.6147 c=5.1408 alpha=90.00 beta=90.00 gamma=90.00
Each line ends with the local moment (μB).
Sites, in units of the cell vectors:
Ca: 0.5000 0.0000 0.5000  -0.02
Mn: 0.0000 0.5000 0.5000  3.25
Ta: 0.0000 0.0000 0.0000  -0.13
Ta: 0.5000 0.5000 0.0000  -0.23

No. 5
A relaxed SbPIr2 crystal. Source: Alexandria, functional PBE.

Computed properties:
- Raw formation energy: 0.504 eV/atom
- Energy: -25.2 eV/cell
- Excess energy over the best structure of this formula in the dataset: 3.11 eV/f.u.

Unit cell a=2.9087 b=4.5312 c=5.0127 alpha=90.00 beta=90.00 gamma=90.00
Sites, in units of the cell vectors:
Sb: 0.0000 0.5000 0.5000
P: 0.5000 0.5000 0.0000
Ir: 0.0000 0.0000 0.0000
Ir: 0.5000 0.0000 0.5000

No. 6
A relaxed Ac7InSn5 crystal. Source: Alexandria, functional PBE.

Computed properties:
- Energy: -57.2 eV/cell
- Formation energy from the elements: -0.437 eV/atom

Unit cell a=6.7401 b=9.0615 c=9.0615 alpha=83.87 beta=68.17 gamma=68.17
Sites, in units of the cell vectors:
Ac: 0.6442 0.3558 0.3558
Ac: 0.2510 0.7490 0.7490
Ac: 0.0017 0.3255 0.6711
Ac: 0.0017 0.6711 0.3255
Ac: 0.2860 0.2140 0.2140
Ac: 0.5282 0.8074 0.1361
Ac: 0.5282 0.1361 0.8074
In: 0.9480 0.0520 0.0520
Sn: 0.5094 0.9968 0.4826
Sn: 0.0112 0.9968 0.4826
Sn: 0.5094 0.4826 0.9968
Sn: 0.0112 0.4826 0.9968
Sn: 0.7697 0.7303 0.7303

No. 7
A relaxed LiYSb2 crystal. Source: Alexandria, functional PBE.

Computed properties:
- Raw formation energy: -0.677 eV/atom
- Energy: -19.3 eV/cell
- Excess energy over the best structure of this formula in the dataset: 0.49 eV/f.u.

Unit cell a=5.9914 b=5.9914 c=4.5296 alpha=73.21 beta=73.21 gamma=41.88
Sites, in units of the cell vectors:
Li: 0.2404 0.2404 0.2254
Sb: 0.0056 0.0056 0.0705
Sb: 0.7673 0.7673 0.6302
Y: 0.4867 0.4867 0.5739

No. 8
A relaxed EuTm3C crystal. Source: Alexandria, functional PBE.

Computed properties:
- Energy: -32.9 eV/cell
- Formation energy from the elements: -0.001 eV/atom

Unit cell a=5.0233 b=5.0233 c=5.0233 alpha=90.00 beta=90.00 gamma=90.00
Each line ends with the local moment (μB).
Sites, in units of the cell vectors:
Eu: 0.5000 0.5000 0.5000  6.88
C: 0.0000 0.0000 0.0000  0.02
Tm: 0.0000 0.5000 0.0000  0.13
Tm: 0.0000 0.0000 0.5000  0.13
Tm: 0.5000 0.0000 0.0000  0.13

Copy entry 1 word for word.
A relaxed MnCo2As8 crystal. Source: Alexandria, functional PBE.

Computed properties:
- Energy: -59.5 eV/cell
- Formation energy from the elements: 0.097 eV/atom

Unit cell a=4.4079 b=7.7040 c=7.4958 alpha=119.07 beta=89.95 gamma=97.19
Each line ends with the local moment (μB).
Sites, in units of the cell vectors:
Mn: 0.0000 0.0000 0.0000  3.14
Co: 0.3393 0.3411 0.6704  0.08
Co: 0.6607 0.6589 0.3296  0.08
As: 0.1475 0.6089 0.3053  0.01
As: 0.8525 0.3911 0.6947  0.01
As: 0.6571 0.8573 0.1808  -0.02
As: 0.3428 0.1423 0.3232  -0.02
As: 0.3036 0.6984 0.8494  -0.03
As: 0.3429 0.1427 0.8192  -0.02
As: 0.6572 0.8577 0.6768  -0.02
As: 0.6964 0.3016 0.1506  -0.03